The following is a GGA+U calculation of a geometry-optimized TiMnO2 structure, from the Alexandria database.

Computed properties:
V = 100.9 Å³ per cell
ΔE to the lowest computed polymorph = 0.077 eV per atom

abc: 6.121 2.886 5.879
angles: 90.00 103.86 90.00
Last column: magnetic moment on the atom in μB.
Positions (direct):
Ti  0.835  0.500  0.684  -0.88
Ti  0.971  0.000  0.251  -0.31
Mn  0.466  0.000  0.208  4.46
Mn  0.345  0.500  0.681  4.49
O  0.212  0.500  0.268  0.04
O  0.743  0.500  0.309  0.01
O  0.057  0.000  0.610  0.04
O  0.845  0.000  0.926  0.04